Material: Ag2B5Pt12
Method: DFT, PBE
State: optimized geometry

POSCAR file:
```
Ag2B5Pt12
1.0
5.899 -2.807 0.000
5.899 2.807 0.000
-1.341 0.000 8.259
Ag B Pt
2 5 12
direct
0.250 0.750 0.000
0.750 0.250 0.000
0.000 0.000 0.500
0.270 0.270 0.394
0.327 0.327 0.042
0.673 0.673 0.958
0.730 0.730 0.606
0.026 0.526 0.847
0.071 0.071 0.735
0.117 0.617 0.566
0.383 0.883 0.434
0.428 0.428 0.284
0.474 0.974 0.153
0.526 0.026 0.847
0.572 0.572 0.716
0.617 0.117 0.566
0.883 0.383 0.434
0.929 0.929 0.265
0.974 0.474 0.153
```

The space group is No. 12.

=====

Material: Ag3BPt
Method: DFT, PBE
State: optimized geometry

POSCAR file:
```
Ag3BPt
1.0
4.307 0.000 0.000
0.000 4.307 0.000
0.000 0.000 4.307
Ag B Pt
3 1 1
direct
0.000 0.000 0.500
0.000 0.500 0.000
0.500 0.000 0.000
0.000 0.000 0.000
0.500 0.500 0.500
```

The calculation puts the polymorph energy (0 for the lowest one) at 0 kJ/mol of formula units. The space group is No. 221.

=====

Material: AgB2Pt2
Method: DFT, PBE
State: optimized geometry

POSCAR file:
```
AgB2Pt2
1.0
-1.608 1.608 6.327
1.608 -1.608 6.327
1.608 1.608 -6.327
Ag B Pt
1 2 2
direct
0.000 0.000 0.000
0.250 0.750 0.500
0.750 0.250 0.500
0.361 0.361 0.000
0.639 0.639 0.000
```

The space group is No. 139.

=====

Material: AgBPt
Method: DFT, PBE
State: optimized geometry

POSCAR file:
```
AgBPt
1.0
2.714 -1.565 0.000
2.714 1.565 0.000
-1.795 0.000 10.070
Ag B Pt
2 2 2
direct
0.128 0.128 0.386
0.872 0.872 0.614
0.317 0.317 0.949
0.683 0.683 0.051
0.387 0.387 0.162
0.613 0.613 0.838
```

The calculation puts the polymorph energy (0 for the lowest one) at 0 kJ/mol of formula units. The space group is No. 12.

=====

Material: AgB5Pt8
Method: DFT, PBE
State: optimized geometry

POSCAR file:
```
AgB5Pt8
1.0
8.685 -1.694 0.000
8.685 1.694 0.000
-1.901 0.000 6.327
Ag B Pt
1 5 8
direct
0.000 0.000 0.000
0.159 0.159 0.459
0.200 0.200 0.841
0.500 0.500 0.500
0.800 0.800 0.159
0.841 0.841 0.541
0.072 0.072 0.671
0.261 0.261 0.336
0.332 0.332 0.996
0.411 0.411 0.670
0.589 0.589 0.330
0.668 0.668 0.004
0.739 0.739 0.664
0.928 0.928 0.329
```

The space group is No. 12.

=====

Material: Ag3BPt
Method: DFT, PBE
State: optimized geometry

POSCAR file:
```
Ag3BPt
1.0
5.122 0.000 0.000
0.000 5.122 0.000
0.000 0.000 5.122
Ag B Pt
3 1 1
direct
0.000 0.000 0.500
0.000 0.500 0.000
0.500 0.000 0.000
0.500 0.500 0.500
0.000 0.000 0.000
```

The calculation puts the polymorph energy (0 for the lowest one) at 532 kJ/mol of formula units. The space group is No. 221.

=====

no.,total energy (eV per atom)
1,-6.00
2,-3.70
3,-5.75
4,-5.29
5,-6.18
6,-2.59